Entry 1:
Crystalline KAlAg2 at its relaxed geometry. Source: Alexandria via LeMat-Bulk, functional PBEsol.

abc: 2.931 5.251 6.253
angles: 114.83 103.55 90.00
Sites, in units of the cell vectors:
Al1 0.462 0.462 0.924
K1 0.246 0.746 0.492
Ag1 0.758 0.258 0.516
Ag2 0.034 0.034 0.069

Computed properties:
Energy of formation (eV per atom): 0.204

***

Entry 2:
Crystalline ScCrF2 at its relaxed geometry. Source: Alexandria via LeMat-Bulk, functional PBEsol.

abc: 4.173 4.173 4.173
angles: 60.00 60.00 60.00
Sites, in units of the cell vectors:
F1 0.750 0.750 0.750
F2 0.250 0.250 0.250
Cr1 0.500 0.500 0.500
Sc1 0.000 0.000 0.000

Computed properties:
Raw formation energy (eV/atom): -1.099

***

Entry 3:
Crystalline LiCaBi at its relaxed geometry. Source: Alexandria via LeMat-Bulk, functional PBEsol.

abc: 4.695 7.709 8.416
angles: 90.00 90.00 90.00
Sites, in units of the cell vectors:
Ca1 0.250 0.010 0.797
Ca2 0.250 0.510 0.703
Ca3 0.750 0.990 0.203
Ca4 0.750 0.490 0.297
Bi1 0.250 0.269 0.100
Bi2 0.750 0.731 0.900
Bi3 0.250 0.769 0.400
Bi4 0.750 0.231 0.600
Li1 0.750 0.847 0.572
Li2 0.250 0.153 0.428
Li3 0.750 0.347 0.928
Li4 0.250 0.653 0.072

Computed properties:
Energy of formation (eV per atom): -0.840

***

Entry 4:
Crystalline LiYGa3 at its relaxed geometry. Source: Alexandria via LeMat-Bulk, functional PBEsol.

abc: 4.509 4.509 4.509
angles: 90.00 90.00 90.00
Sites, in units of the cell vectors:
Li1 0.000 0.000 0.000
Y1 0.500 0.500 0.500
Ga1 0.500 0.000 0.000
Ga2 0.000 0.000 0.500
Ga3 0.000 0.500 0.000

Computed properties:
Energy of formation (eV per atom): -0.189

***

Entry 5:
Crystalline Ca3Si at its relaxed geometry. Source: Alexandria via LeMat-Bulk, functional PBEsol.

abc: 4.816 4.816 5.777
angles: 114.64 114.64 90.00
Sites, in units of the cell vectors:
Ca1 0.500 0.500 0.000
Ca2 0.250 0.750 0.500
Ca3 0.750 0.250 0.500
Si1 0.000 0.000 0.000

Computed properties:
Raw formation energy (eV/atom): -0.094

***

Entry 6:
Crystalline RbAsI3 at its relaxed geometry. Source: Alexandria via LeMat-Bulk, functional PBEsol.

abc: 5.777 5.777 5.777
angles: 90.00 90.00 90.00
Sites, in units of the cell vectors:
I1 0.500 0.000 0.000
I2 0.000 0.500 0.000
I3 0.000 0.000 0.500
Rb1 0.500 0.500 0.500
As1 0.000 0.000 0.000

Computed properties:
Raw formation energy (eV/atom): -0.615

***

Entry 7:
Crystalline CdInAg2 at its relaxed geometry. Source: Alexandria via LeMat-Bulk, functional PBEsol.

abc: 3.119 4.958 4.958
angles: 103.55 90.00 90.00
Sites, in units of the cell vectors:
In1 0.500 0.000 0.000
Ag1 0.000 0.500 0.000
Ag2 0.000 0.000 0.500
Cd1 0.500 0.500 0.500

Computed properties:
Energy of formation (eV per atom): -0.029

***

Entry 8:
Crystalline BeAg2As at its relaxed geometry. Source: Alexandria via LeMat-Bulk, functional PBEsol.

abc: 2.764 4.093 6.133
angles: 109.49 103.02 90.00
Sites, in units of the cell vectors:
Ag1 0.933 0.933 0.865
Ag2 0.761 0.261 0.521
As1 0.566 0.566 0.132
Be1 0.241 0.741 0.482

Computed properties:
Energy of formation (eV per atom): 0.192

***

Entry 9:
Crystalline Zr2TlRh at its relaxed geometry. Source: Alexandria via LeMat-Bulk, functional PBEsol.

abc: 4.270 4.270 5.160
angles: 114.44 114.44 90.00
Sites, in units of the cell vectors:
Rh1 0.500 0.500 0.000
Zr1 0.250 0.750 0.500
Zr2 0.750 0.250 0.500
Tl1 0.000 0.000 0.000

Computed properties:
Energy of formation (eV per atom): -0.305

***

Entry 10:
Crystalline Ta2SiCl at its relaxed geometry. Source: Alexandria via LeMat-Bulk, functional PBEsol.

abc: 2.957 4.542 4.542
angles: 90.00 90.00 90.00
Sites, in units of the cell vectors:
Ta1 0.000 0.000 0.500
Ta2 0.000 0.500 0.000
Cl1 0.500 0.500 0.500
Si1 0.500 0.000 0.000

Computed properties:
Raw formation energy (eV/atom): 0.132

***

Entry 11:
Crystalline GaFe3 at its relaxed geometry. Source: Alexandria via LeMat-Bulk, functional PBEsol.

abc: 4.002 4.002 4.002
angles: 60.00 60.00 60.00
Sites, in units of the cell vectors:
Fe1 0.750 0.750 0.750
Fe2 0.250 0.250 0.250
Fe3 0.500 0.500 0.500
Ga1 0.000 0.000 0.000

Computed properties:
Energy of formation (eV per atom): -0.107

***

Entry 12:
Crystalline TaTl3Au at its relaxed geometry. Source: Alexandria via LeMat-Bulk, functional PBEsol.

abc: 5.263 5.263 5.263
angles: 90.00 90.00 90.00
Sites, in units of the cell vectors:
Tl1 0.000 0.500 0.000
Tl2 0.000 0.000 0.500
Tl3 0.500 0.000 0.000
Ta1 0.500 0.500 0.500
Au1 0.000 0.000 0.000

Computed properties:
Energy of formation (eV per atom): 1.305

***

Number 1: spin magnetization 0.00 μB per cell. Number 2: spin magnetization 4.76 μB per cell. Number 3: spin magnetization 0.00 μB per cell. Number 4: spin magnetization 0.00 μB per cell. Number 5: spin magnetization 0.00 μB per cell. Number 6: spin magnetization 0.00 μB per cell. Number 7: spin magnetization 0.00 μB per cell. Number 8: spin magnetization 0.00 μB per cell. Number 9: spin magnetization 0.00 μB per cell. Number 10: spin magnetization 0.00 μB per cell. Number 11: spin magnetization 5.90 μB per cell. Number 12: spin magnetization 2.64 μB per cell.